## Al4V2Bi (GGA-PBE)

Data for a relaxed Al4V2Bi crystal.

```
7
Lattice="-2.004 -4.233 2.613 2.507 -3.293 -3.411 5.463 -3.828 3.494" Properties=species:S:1:pos:R:3 pbc="T T T"
Al 3.117 -3.799 1.742
Al -1.002 -2.117 1.307
V 1.013 -3.773 0.170
V 4.953 -7.582 2.526
Bi 0.000 0.000 0.000
Al 1.254 -1.647 -1.706
Al 2.848 -7.555 0.954
```

Values from the calculation:
Calculated total energy ... -0.314 Ry per atom
Energy of formation from the pure elements ... 1.026 eV/atom